NdB14Mo: relaxed, PBE-GGA.

Cell and atoms, written as extended XYZ:
```
32
Lattice="-4.192 -4.064 -0.729 2.219 -5.798 -4.183 1.193 -6.209 4.009" Properties=species:S:1:pos:R:3 pbc="T T T"
B 0.753 -5.498 2.575
Nd -0.066 -3.966 -1.258
B 2.110 -10.691 -0.018
B -1.178 -7.464 0.893
B 0.596 -7.949 1.018
B -1.532 -10.573 -3.478
Nd -0.713 -12.105 0.355
B -2.055 -8.449 -0.270
B 1.848 -12.380 -0.799
B -0.501 -1.630 0.266
B 0.888 -8.822 -3.412
B 1.164 -7.294 2.609
B 0.904 -6.017 -3.017
B 0.674 -5.119 0.917
B -0.749 -9.253 0.785
B -1.375 -8.122 -1.921
B 0.399 -8.607 -1.796
B -1.943 -8.777 -3.512
B -2.627 -3.691 -0.104
B -1.453 -10.952 -1.820
B 0.011 -6.446 0.089
B 0.851 -9.376 -0.110
B -1.666 -7.249 2.509
B 1.276 -7.622 -0.632
B -2.889 -5.380 -0.885
B -0.790 -9.625 -0.992
B -0.278 -14.441 -1.169
B -1.630 -6.695 -0.793
B -0.030 -6.818 -1.688
Mo 0.597 -3.104 2.004
B -1.683 -10.054 2.114
Mo -1.499 -5.136 1.640
```

Summary:
* M_tot: 0.0 μB/f.u.
* E_tot: -6.935 eV/atom
* N(E_F): 7.33 states/eV per cell

MgAg4Ir: relaxed, PBE-GGA.

Cell and atoms, written as extended XYZ:
```
6
Lattice="-4.421 1.403 2.694 -4.138 2.209 -2.601 -4.540 -2.777 -0.665" Properties=species:S:1:pos:R:3 pbc="T T T"
Ag -4.914 0.313 -0.215
Mg 0.000 0.000 0.000
Ir -9.824 0.626 -0.429
Ag -7.122 1.013 1.131
Ag -7.181 -1.074 -0.547
Ag -6.981 1.416 -1.513
```

Summary:
* M_tot: 0.0 μB/f.u.
* E_tot: -3.341 eV/atom
* N(E_F): 2.21 states/eV per cell

AlIn2Pt: relaxed, PBE-GGA.

Cell and atoms, written as extended XYZ:
```
4
Lattice="-7.111 -3.201 4.251 -8.171 -3.297 1.117 -6.336 -5.775 2.321" Properties=species:S:1:pos:R:3 pbc="T T T"
In -10.933 -6.207 3.889
Al -16.213 -9.205 5.766
Pt -5.404 -3.068 1.922
In -21.493 -12.203 7.644
```

Summary:
* M_tot: 0.0 μB/f.u.
* E_tot: -3.883 eV/atom
* N(E_F): 2.20 states/eV per cell

Q: What is the formula in the third record?
A: AlIn2Pt

Q: Look up the E_tot of the third one.
A: -3.883 eV/atom